# 1
## Li2PuHgF8 (PBE-GGA)

Data for a relaxed Li2PuHgF8 crystal.

Lattice parameters (Å, degrees): 5.468 5.468 7.891 90.00 90.00 120.00
Element x y z (fractional)
F 0.169 0.831 0.829
Hg 0.000 0.000 0.500
F 0.333 0.667 0.465
F 0.831 0.662 0.171
Li 0.333 0.667 0.692
F 0.662 0.831 0.829
Pu 0.000 0.000 0.000
F 0.169 0.338 0.829
F 0.667 0.333 0.535
Li 0.667 0.333 0.308
F 0.338 0.169 0.171
F 0.831 0.169 0.171

Results
Its density of states at the Fermi level is 0.977 states/eV per atom. The value obtained for the final energy is -64.083 eV for the cell shown.

=====

# 2
## BaZn2AgRh (PBE-GGA)

Data for a relaxed BaZn2AgRh crystal.

Lattice parameters (Å, degrees): 6.183 5.125 6.183 90.00 90.00 90.00
Element x y z (fractional)
Ba 0.000 0.000 0.000
Zn 0.000 0.000 0.500
Ag 0.500 0.500 0.500
Zn 0.500 0.000 0.000
Rh 0.000 0.500 0.000

Results
For the relative energy among the computed polymorphs, the calculation gives 7.02 eV/f.u. Its density of states at the Fermi level is 0.793 states/eV per atom. The formation energy is 1207 meV per atom.

=====

# 3
## Zr2NbIn (PBE-GGA)

Data for a relaxed Zr2NbIn crystal.

Lattice parameters (Å, degrees): 4.007 4.594 4.594 90.00 90.00 90.00
Element x y z (fractional)
Zr 0.000 0.000 0.500
Nb 0.500 0.000 0.000
In 0.500 0.500 0.500
Zr 0.000 0.500 0.000

Results
Its density of states at the Fermi level is 1.555 states/eV per atom. The formation energy is -134 meV per atom.

=====

# 4
## TcHN3 (PBE-GGA)

Data for a relaxed TcHN3 crystal.

Lattice parameters (Å, degrees): 3.867 3.867 3.867 90.00 90.00 90.00
Element x y z (fractional)
Tc 0.000 0.000 0.000
H 0.500 0.500 0.500
N 0.000 0.500 0.000
N 0.500 0.000 0.000
N 0.000 0.000 0.500

Results
Its density of states at the Fermi level is 0.873 states/eV per atom. The value obtained for the final energy is -30.829 eV for the cell shown.

=====

# 5
## NdP2Pd3 (PBE-GGA)

Data for a relaxed NdP2Pd3 crystal.

Lattice parameters (Å, degrees): 4.013 8.397 9.918 107.56 90.00 103.83
Element x y z (fractional)
P 0.464 0.929 0.211
Nd 0.000 0.000 0.000
Pd 0.046 0.091 0.333
P 0.202 0.403 0.132
Pd 0.500 0.000 0.500
Pd 0.678 0.356 0.965
Nd 0.849 0.698 0.300
Pd 0.632 0.263 0.209
Nd 0.151 0.302 0.700
Pd 0.954 0.909 0.667
Pd 0.368 0.737 0.791
Pd 0.228 0.455 0.393
P 0.634 0.268 0.451
P 0.536 0.071 0.789
Pd 0.772 0.545 0.607
P 0.366 0.732 0.549
P 0.798 0.597 0.868
Pd 0.322 0.644 0.035

Results
Its density of states at the Fermi level is 0.424 states/eV per atom. The formation energy is -891 meV per atom.

=====

What did the second record say?
## BaZn2AgRh (PBE-GGA)

Data for a relaxed BaZn2AgRh crystal.

Lattice parameters (Å, degrees): 6.183 5.125 6.183 90.00 90.00 90.00
Element x y z (fractional)
Ba 0.000 0.000 0.000
Zn 0.000 0.000 0.500
Ag 0.500 0.500 0.500
Zn 0.500 0.000 0.000
Rh 0.000 0.500 0.000

Results
For the relative energy among the computed polymorphs, the calculation gives 7.02 eV/f.u. Its density of states at the Fermi level is 0.793 states/eV per atom. The formation energy is 1207 meV per atom.

=====

Question: Number 4 is which compound?
Answer: TcHN3

=====

Question: The lowest density of states at the Fermi level belongs to which entry?
Answer: NdP2Pd3